Entry 1:
VGaNi3 | Alexandria via LeMat-Bulk | PBE | optimized geometry; space-group type = Pm-3m, No. 221; total moment = 0.14 μB/atom
1.0
4.311 0.000 0.000
0.000 4.311 0.000
0.000 0.000 4.311
V Ga Ni
1 1 3
Cartesian
0.000 0.000 0.000
2.155 2.155 2.155
0.000 0.000 2.155
0.000 2.155 0.000
2.155 0.000 0.000



Entry 2:
VGaNi5 | Alexandria via LeMat-Bulk | PBE | optimized geometry; space-group type = C2/c, No. 15; total moment = 0.00 μB/atom
1.0
3.032 -3.412 0.000
3.032 3.412 0.000
-2.989 0.000 7.967
V Ga Ni
2 2 10
Cartesian
0.790 1.799 5.975
2.285 -1.799 1.992
1.516 1.706 0.000
0.021 -1.706 3.983
-0.509 0.653 4.299
2.285 2.667 1.992
0.985 -0.653 0.316
1.340 0.383 2.753
-0.155 -0.383 6.736
3.229 0.383 1.231
1.735 -0.383 5.214
2.090 0.653 7.651
0.790 -2.667 5.975
3.584 -0.653 3.668



Entry 3:
VGa3Ni | Alexandria via LeMat-Bulk | PBE | optimized geometry; space-group type = Pm-3m, No. 221; total moment = 0.64 μB/atom
1.0
4.481 0.000 0.000
0.000 4.481 0.000
0.000 0.000 4.481
V Ga Ni
1 3 1
Cartesian
0.000 0.000 0.000
0.000 2.240 2.240
2.240 0.000 2.240
2.240 2.240 0.000
2.240 2.240 2.240



Entry 4:
V2GaNi7 | Alexandria via LeMat-Bulk | PBE | optimized geometry; space-group type = Cmmm, No. 65; total moment = 0.00 μB/atom
1.0
3.150 -6.109 0.000
3.150 6.109 0.000
0.000 0.000 3.759
V Ga Ni
2 1 7
Cartesian
3.150 3.658 0.000
3.150 -3.658 0.000
3.150 0.000 1.880
0.000 0.000 0.000
1.971 1.262 0.000
3.150 2.402 1.880
1.971 -1.262 0.000
4.330 1.262 0.000
3.150 -2.402 1.880
4.330 -1.262 0.000



Entry 5:
V6GaNi2 | Alexandria via LeMat-Bulk | PBE | optimized geometry; space-group type = C2/m, No. 12; total moment = 0.00 μB/atom
1.0
3.268 -6.178 0.000
3.268 6.178 0.000
-0.565 0.000 2.919
V Ga Ni
6 1 2
Cartesian
0.652 2.013 2.391
0.865 0.000 1.013
0.652 -2.013 2.391
5.319 2.013 0.528
5.107 0.000 1.906
5.319 -2.013 0.528
3.268 0.000 0.000
2.986 2.011 1.460
2.986 -2.011 1.460



Entry 6:
V2Ga2Ni5 | Alexandria via LeMat-Bulk | PBE | optimized geometry; space-group type = Fmmm, No. 69; total moment = 0.00 μB/atom
1.0
0.000 3.672 6.287
2.503 0.000 6.287
2.503 3.672 0.000
V Ga Ni
2 2 5
Cartesian
2.503 3.672 3.119
2.503 3.672 9.455
2.503 2.455 6.287
2.503 4.890 6.287
0.000 0.000 0.000
1.252 1.836 1.930
1.252 1.836 4.357
3.755 5.508 8.217
3.755 5.508 10.643



Entry 7:
VGa2Ni | Alexandria via LeMat-Bulk | PBE | optimized geometry; space-group type = P4/mmm, No. 123; total moment = 0.03 μB/atom
1.0
3.850 0.000 0.000
0.000 3.850 0.000
0.000 0.000 3.597
V Ga Ni
1 2 1
Cartesian
0.000 0.000 0.000
0.000 1.925 1.798
1.925 0.000 1.798
1.925 1.925 0.000



Entry 8:
V2GaNi4 | Alexandria via LeMat-Bulk | PBE | optimized geometry; space-group type = P2_1/m, No. 11; total moment = 0.00 μB/atom
1.0
6.077 0.000 0.000
0.000 4.623 0.000
-2.973 0.000 6.133
V Ga Ni
4 2 8
Cartesian
0.794 1.156 0.340
0.204 1.156 3.112
2.900 3.467 3.021
2.310 3.467 5.793
0.683 3.467 1.763
2.422 1.156 4.370
-1.505 2.330 4.433
-1.505 4.604 4.433
0.637 3.467 4.201
2.662 3.467 0.391
0.442 1.156 5.741
2.468 1.156 1.931
4.609 0.019 1.700
4.609 2.292 1.700



| no. | DFT formation energy (eV per atom) |
| --- | --- |
| 1 | 0.95 |
| 2 | -0.17 |
| 3 | 0.31 |
| 4 | 0.42 |
| 5 | -0.04 |
| 6 | -0.07 |
| 7 | -0.26 |
| 8 | -0.11 |